Run w
44
Lattice="-5.157 1.121 3.762 -1.166 -9.001 0.832 5.422 -0.015 7.438" Properties=species:S:1:pos:R:3 comment="Ca15NiIr4O24 GGA-PBEsol relaxed" mass_density_g_cm3=5.537 n_ef_per_ev_cell=28.36 crystal_system=monoclinic sg="No. 3" pbc="T T T"
O 2.386 -3.001 7.644
O -2.780 -1.728 2.746
O -0.924 0.324 7.629
O -4.227 -4.188 4.341
O -2.855 -6.155 2.792
O 1.222 -8.223 6.047
O 2.088 -5.524 6.229
O -1.021 -2.377 8.501
O -0.619 -6.221 6.913
O -4.466 -7.026 5.077
O 0.103 -7.679 10.079
O 0.460 -1.676 6.136
O -0.128 -4.735 4.527
O 0.230 -4.904 9.212
O 3.962 -7.005 7.820
O -1.861 -0.430 5.030
O -3.457 -5.625 7.386
O -0.889 -3.695 1.908
O -0.964 -7.460 4.362
O -0.077 -0.903 10.776
O 3.256 -0.228 7.795
O -0.109 -0.859 1.913
O 1.777 -2.268 3.576
O -1.964 -3.157 5.869
Ir 3.849 -1.962 8.572
Ir 0.552 -6.483 5.286
Ir -1.446 -1.412 6.753
Ir 0.664 -5.948 10.885
Ca -1.721 -6.449 9.031
Ca -0.534 -6.043 2.438
Ca 0.919 -0.896 8.683
Ca 1.664 -7.009 8.127
Ca -1.859 0.558 2.868
Ca 2.130 -4.508 4.138
Ca 0.133 0.553 5.600
Ca -2.332 -5.406 5.330
Ca 4.100 -4.513 6.840
Ca 2.814 -1.451 5.734
Ca -3.156 -3.940 2.305
Ca -3.826 -1.843 4.847
Ca 0.308 -3.950 7.056
Ca 1.933 -0.005 2.651
Ca -0.525 -2.484 4.018
Ni 0.021 0.000 0.028



Run x
44
Lattice="6.504 -0.013 0.021 -0.114 6.503 0.021 -0.173 -0.176 12.924" Properties=species:S:1:pos:R:3 comment="Ca15NiIr4O24 GGA-PBEsol relaxed" mass_density_g_cm3=5.506 n_ef_per_ev_cell=23.04 crystal_system=monoclinic sg="No. 5" pbc="T T T"
Ca 4.753 1.480 9.722
Ca 0.553 5.703 3.157
Ca 1.435 4.805 6.483
Ca 4.826 3.961 0.868
Ca 4.812 1.539 3.244
Ca 1.553 2.500 2.382
Ca 3.741 4.723 10.583
Ca 1.448 2.387 8.802
Ca 5.858 0.624 0.021
Ca 2.412 1.551 5.584
Ca 5.674 0.631 6.483
Ca 4.704 3.879 7.382
Ca 2.332 1.428 12.097
Ca 0.523 5.673 9.808
Ca 3.853 4.830 4.164
O 3.722 1.891 1.275
O 2.768 0.353 10.036
O 5.962 5.098 5.337
O 3.427 5.935 6.187
O 2.553 4.445 8.491
O 4.385 2.564 11.691
O 0.664 3.118 0.277
O 0.286 1.258 4.375
O 1.213 0.274 7.628
O 2.816 0.443 3.539
O 3.110 5.603 12.688
O 0.336 2.796 6.778
O 4.965 6.033 2.105
O 5.818 3.493 9.427
O 1.687 3.790 11.131
O 5.907 3.542 2.929
O 4.450 2.695 5.224
O 2.454 4.569 1.834
O 1.260 0.496 1.171
O 5.741 5.047 11.795
O 1.813 3.693 4.474
O 0.263 1.256 10.860
O 4.964 6.009 8.590
O 3.592 1.823 7.742
Ir 3.144 -0.024 1.607
Ir 6.290 3.171 11.358
Ir 3.146 -0.112 8.102
Ir 6.379 3.171 4.863
Ni 1.977 4.444 0.021



If we sort the structures by their calculated energies, the order from most to least stable is run x, run w.